## NaRuRh (GGA-PBE)

Data for NaRuRh after structural relaxation.

Structure (extended XYZ):
```
6
Lattice="-4.978 -1.217 -0.351 -0.381 -2.111 1.744 -3.528 4.601 4.791" Properties=species:S:1:pos:R:3 pbc="T T T"
Ru -6.235 1.820 4.821
Na -4.135 -0.187 2.860
Rh -4.801 -2.831 1.711
Na -6.779 -0.906 3.602
Rh -3.753 2.642 4.164
Ru -1.838 -0.477 0.809
```

## Properties
* DOS(E_F): 1.36 states/eV per atom
* energy of formation: 114 kJ/mol of formula units
* V: 16.5 Å³/atom